Material: Tl2AgSb
Method: DFT, PBE
State: relaxed

abc: 4.8670 4.8670 7.4523
angles: 97.27 97.27 41.14
Closest atoms and distances in Å follow each position.
Positions (direct):
Tl  0.0000  0.0000  0.0000  3 Ag 3.11-3.12, 3 Tl 3.37-3.42, 2 Sb 3.46
Tl  0.2337  0.2337  0.6865  3 Sb 3.30-3.39, 5 Tl 3.37-3.57
Ag  0.7417  0.7417  0.2329  3 Sb 2.84-2.91, 3 Tl 3.11-3.12
Sb  0.4794  0.4794  0.4000  3 Ag 2.84-2.91

Calculated values
Polymorph energy (0 for the lowest one) ... 56 meV per atom
Volume ... 28.769 Å³/atom
ΔE_f (raw) ... 0.06 eV per atom


Material: V6SiMo5
Method: DFT, PBE
State: relaxed

abc: 7.4965 7.4965 7.4965
angles: 146.66 131.61 60.03
Closest atoms and distances in Å follow each position.
Positions (direct):
V  0.0807  0.3325  0.7481  7 Mo 2.63-2.72, 1 Si 2.67
V  0.2431  0.0000  0.2431  6 Mo 2.60-2.65, 2 Si 2.67
V  0.4156  0.6675  0.7481  7 Mo 2.63-2.72, 1 Si 2.67
V  0.5844  0.3325  0.2519  7 Mo 2.63-2.72, 1 Si 2.67
V  0.7569  0.0000  0.7569  6 Mo 2.60-2.65, 2 Si 2.67
V  0.9193  0.6675  0.2519  7 Mo 2.63-2.72, 1 Si 2.67
Si  0.5000  0.5000  0.0000  8 V 2.67, 4 Mo 2.98
Mo  0.0000  0.5000  0.5000  8 V 2.62-2.66
Mo  0.1691  0.1691  0.0000  8 V 2.63-2.65
Mo  0.3407  0.8407  0.5000  8 V 2.60-2.72
Mo  0.6593  0.1593  0.5000  8 V 2.60-2.72
Mo  0.8309  0.8309  0.0000  8 V 2.63-2.65

Calculated values
Volume ... 14.295 Å³/atom
ΔE_f (raw) ... -0.19 eV per atom


- Number 2 is which compound?
  V6SiMo5


- Which of these has the lowest volume?
  V6SiMo5


Repeat the first record exactly.
Material: Tl2AgSb
Method: DFT, PBE
State: relaxed

abc: 4.8670 4.8670 7.4523
angles: 97.27 97.27 41.14
Closest atoms and distances in Å follow each position.
Positions (direct):
Tl  0.0000  0.0000  0.0000  3 Ag 3.11-3.12, 3 Tl 3.37-3.42, 2 Sb 3.46
Tl  0.2337  0.2337  0.6865  3 Sb 3.30-3.39, 5 Tl 3.37-3.57
Ag  0.7417  0.7417  0.2329  3 Sb 2.84-2.91, 3 Tl 3.11-3.12
Sb  0.4794  0.4794  0.4000  3 Ag 2.84-2.91

Calculated values
Polymorph energy (0 for the lowest one) ... 56 meV per atom
Volume ... 28.769 Å³/atom
ΔE_f (raw) ... 0.06 eV per atom


- The lowest volume belongs to which entry?
  V6SiMo5